DFT (GGA+U) results for SrPtWO6 after structural relaxation.

Output
Uncorrected energy: -60.8 eV per formula unit
Density: 7.041 Mg/m³

Lattice parameters (Å, degrees): 5.3208 5.3208 5.4107 90.00 90.00 120.00
Space group P312 (No. 149)
Symmetry-distinct sites (fractional):
Sr1 0.0000 0.0000 0.0000 [1 per cell]
Pt1 0.3333 0.6667 0.5000 [1 per cell]
W1 0.6667 0.3333 0.5000 [1 per cell]
O1 0.3790 0.0123 0.2973 [6 per cell]